The following is a DFT calculation (GGA-PBE) of a relaxed Np2MnP3Ir4 crystal.

Calculated values
The magnetic moment is 9.50 μB/cell. As for the total energy: -92.42 eV per cell. The density of states at the Fermi level comes out at 22.445 states/eV/cell. The value obtained for the formation energy is -0.570 eV/atom.

Geometry as extended XYZ:
```
10
Lattice="4.026 0.000 0.000 0.000 4.026 0.000 0.000 0.000 10.094" Properties=species:S:1:pos:R:3 pbc="T T T"
Ir 0.000 2.013 3.695
Ir 2.013 0.000 6.399
P 0.000 0.000 5.047
Np 2.013 0.000 2.550
Ir 0.000 0.000 0.000
P 0.000 2.013 1.381
Np 0.000 2.013 7.544
P 2.013 0.000 8.712
Mn 2.013 2.013 5.047
Ir 2.013 2.013 0.000
```



The following is a DFT calculation (GGA-PBE) of a relaxed NpMnIrPd crystal.

Calculated values
The magnetic moment is 8.06 μB/cell. As for the total energy: -36.47 eV per cell. The density of states at the Fermi level comes out at 8.541 states/eV/cell. The value obtained for the formation energy is -0.076 eV/atom.

Geometry as extended XYZ:
```
4
Lattice="-1.921 0.196 -4.256 2.600 -0.892 -3.781 -0.689 -3.929 -2.436" Properties=species:S:1:pos:R:3 pbc="T T T"
Ir 0.000 0.000 0.000
Np -0.003 -1.156 -2.618
Pd -0.005 -2.312 -5.237
Mn -0.008 -3.468 -7.855
```



The following is a DFT calculation (GGA-PBE) of a relaxed NpMnIrPt crystal.

Calculated values
The magnetic moment is 7.79 μB/cell. As for the total energy: -37.79 eV per cell. The density of states at the Fermi level comes out at 7.388 states/eV/cell. The value obtained for the formation energy is -0.193 eV/atom.

Geometry as extended XYZ:
```
4
Lattice="4.675 0.000 0.000 2.338 4.049 0.000 2.338 1.350 3.818" Properties=species:S:1:pos:R:3 pbc="T T T"
Ir 2.338 1.350 0.954
Pt 7.013 4.049 2.863
Np 0.000 0.000 0.000
Mn 4.675 2.699 1.909
```



The following is a DFT calculation (GGA-PBE) of a relaxed PuNpMnIr crystal.

Calculated values
The magnetic moment is 3.20 μB/cell. As for the total energy: -45.58 eV per cell. The density of states at the Fermi level comes out at 12.822 states/eV/cell. The value obtained for the formation energy is -0.069 eV/atom.

Geometry as extended XYZ:
```
4
Lattice="-3.621 2.064 1.720 -1.731 -1.385 3.926 0.408 2.576 3.678" Properties=species:S:1:pos:R:3 pbc="T T T"
Ir -3.708 2.441 6.993
Mn 0.000 0.000 0.000
Np -1.236 0.814 2.331
Pu -2.472 1.627 4.662
```